P:
# DyEr7Tm3, optimized geometry, DFT GGA-PBE
data_DyEr7Tm3
_cell_length_a 6.8556
_cell_length_b 5.4416
_cell_length_c 9.7631
_cell_angle_alpha 90.00
_cell_angle_beta 109.94
_cell_angle_gamma 90.00
_space_group_name_H-M_alt 'P 1 2/m 1'
_space_group_IT_number 10
loop_
_space_group_symop_operation_xyz
'x,y,z'
'-x,-y,-z'
'-x,y,-z'
'x,-y,z'
loop_
_atom_site_label
_atom_site_type_symbol
_atom_site_fract_x
_atom_site_fract_y
_atom_site_fract_z
Dy1 Dy 0.0000 0.0000 0.0000
Er1 Er 0.0000 0.0000 0.5000
Er2 Er 0.1473 0.5000 0.7908
Er3 Er 0.3219 0.5000 0.1413
Er4 Er 0.4210 0.0000 0.3314
Tm1 Tm 0.2775 0.5000 0.4976
Tm2 Tm 0.5000 0.0000 0.0000
# size of the total moment: 0.00 μB/cell


Q:
# DyEr7Tm3, optimized geometry, DFT GGA-PBE
data_DyEr7Tm3
_cell_length_a 12.3935
_cell_length_b 11.0198
_cell_length_c 5.6939
_cell_angle_alpha 90.00
_cell_angle_beta 117.27
_cell_angle_gamma 90.00
_space_group_name_H-M_alt 'C 1 2/m 1'
_space_group_IT_number 12
loop_
_space_group_symop_operation_xyz
'x,y,z'
'-x,-y,-z'
'-x,y,-z'
'x,-y,z'
'x+1/2,y+1/2,z'
'-x+1/2,-y+1/2,-z'
'-x+1/2,y+1/2,-z'
'x+1/2,-y+1/2,z'
loop_
_atom_site_label
_atom_site_type_symbol
_atom_site_fract_x
_atom_site_fract_y
_atom_site_fract_z
Dy1 Dy 0.0000 0.0000 0.0000
Er1 Er 0.0000 0.0000 0.5000
Er2 Er 0.2005 0.3006 0.2003
Er3 Er 0.2072 0.5000 0.7062
Tm1 Tm 0.0000 0.2935 0.5000
Tm2 Tm 0.0000 0.5000 0.0000
# size of the total moment: 0.73 μB/cell


Q: What are the energies relative to the best structure? A: P 0; Q 127, in meV/atom.


P:
# Dy4ErTm3, optimized geometry, DFT GGA-PBE
data_Dy4ErTm3
_cell_length_a 11.1117
_cell_length_b 7.1879
_cell_length_c 6.2153
_cell_angle_alpha 90.00
_cell_angle_beta 90.00
_cell_angle_gamma 90.00
_space_group_name_H-M_alt 'P m n 21'
_space_group_IT_number 31
loop_
_space_group_symop_operation_xyz
'x,y,z'
'-x+1/2,-y,z+1/2'
'-x,y,z'
'x+1/2,-y,z+1/2'
loop_
_atom_site_label
_atom_site_type_symbol
_atom_site_fract_x
_atom_site_fract_y
_atom_site_fract_z
Dy1 Dy 0.0000 0.1262 0.0000
Dy2 Dy 0.0000 0.8734 0.5009
Dy3 Dy 0.2496 0.1263 0.3342
Er1 Er 0.0000 0.6236 0.0012
Tm1 Tm 0.0000 0.3764 0.5009
Tm2 Tm 0.2498 0.3763 0.8338
# size of the total moment: 0.00 μB/cell


Q:
# Dy4ErTm3, optimized geometry, DFT GGA-PBE
data_Dy4ErTm3
_cell_length_a 5.5413
_cell_length_b 25.7460
_cell_length_c 3.5388
_cell_angle_alpha 90.00
_cell_angle_beta 90.00
_cell_angle_gamma 90.00
_space_group_name_H-M_alt 'C m m m'
_space_group_IT_number 65
_space_group_name_Hall '-C 2 2'
loop_
_atom_site_label
_atom_site_type_symbol
_atom_site_fract_x
_atom_site_fract_y
_atom_site_fract_z
Dy1 Dy 0.0000 0.1030 0.0000
Dy2 Dy 0.0000 0.2228 0.0000
Er1 Er 0.0000 0.0000 0.5000
Tm1 Tm 0.0000 0.3452 0.5000
Tm2 Tm 0.0000 0.5000 0.0000
# size of the total moment: 0.00 μB/cell


Q: What are the energies relative to the best structure? A: P 0; Q 206, in meV/atom.


P:
# Dy2Er3Tm7, optimized geometry, DFT GGA-PBE
data_Dy2Er3Tm7
_cell_length_a 5.5856
_cell_length_b 37.0390
_cell_length_c 3.5481
_cell_angle_alpha 90.00
_cell_angle_beta 90.00
_cell_angle_gamma 90.00
_space_group_name_H-M_alt 'C m m m'
_space_group_IT_number 65
_space_group_name_Hall '-C 2 2'
loop_
_atom_site_label
_atom_site_type_symbol
_atom_site_fract_x
_atom_site_fract_y
_atom_site_fract_z
Dy1 Dy 0.0000 0.1471 0.0000
Er1 Er 0.0000 0.3149 0.5000
Er2 Er 0.0000 0.5000 0.5000
Tm1 Tm 0.0000 0.0000 0.0000
Tm2 Tm 0.0000 0.0713 0.5000
Tm3 Tm 0.0000 0.2307 0.0000
Tm4 Tm 0.0000 0.4090 0.0000
# size of the total moment: 0.00 μB/cell


Q:
# Dy2Er3Tm7, optimized geometry, DFT GGA-PBE
data_Dy2Er3Tm7
_cell_length_a 6.2179
_cell_length_b 3.4629
_cell_length_c 17.1279
_cell_angle_alpha 90.00
_cell_angle_beta 96.25
_cell_angle_gamma 90.00
_space_group_name_H-M_alt 'P 1 2/m 1'
_space_group_IT_number 10
loop_
_space_group_symop_operation_xyz
'x,y,z'
'-x,-y,-z'
'-x,y,-z'
'x,-y,z'
loop_
_atom_site_label
_atom_site_type_symbol
_atom_site_fract_x
_atom_site_fract_y
_atom_site_fract_z
Dy1 Dy 0.0624 0.0000 0.1740
Er1 Er 0.4484 0.5000 0.8428
Er2 Er 0.5000 0.0000 0.5000
Tm1 Tm 0.0000 0.5000 0.5000
Tm2 Tm 0.2250 0.0000 0.6671
Tm3 Tm 0.2550 0.0000 0.9987
Tm4 Tm 0.2752 0.5000 0.3353
# size of the total moment: 0.00 μB/cell


Q: What are the energies relative to the best structure? A: P 33; Q 0, in meV/atom.


P:
# DyEr8Tm2, optimized geometry, DFT GGA-PBE
data_DyEr8Tm2
_cell_length_a 16.9891
_cell_length_b 6.6090
_cell_length_c 6.4317
_cell_angle_alpha 90.00
_cell_angle_beta 109.63
_cell_angle_gamma 90.00
_space_group_name_H-M_alt 'C 1 2/m 1'
_space_group_IT_number 12
loop_
_space_group_symop_operation_xyz
'x,y,z'
'-x,-y,-z'
'-x,y,-z'
'x,-y,z'
'x+1/2,y+1/2,z'
'-x+1/2,-y+1/2,-z'
'-x+1/2,y+1/2,-z'
'x+1/2,-y+1/2,z'
loop_
_atom_site_label
_atom_site_type_symbol
_atom_site_fract_x
_atom_site_fract_y
_atom_site_fract_z
Dy1 Dy 0.0000 0.0000 0.0000
Er1 Er 0.0605 0.5000 0.2449
Er2 Er 0.1017 0.2396 0.6904
Er3 Er 0.2100 0.0000 0.3311
Tm1 Tm 0.2196 0.5000 0.1042
# size of the total moment: 0.00 μB/cell


Q:
# DyEr8Tm2, optimized geometry, DFT GGA-PBE
data_DyEr8Tm2
_cell_length_a 8.9875
_cell_length_b 16.4572
_cell_length_c 5.8270
_cell_angle_alpha 90.00
_cell_angle_beta 127.27
_cell_angle_gamma 90.00
_space_group_name_H-M_alt 'C 1 2/m 1'
_space_group_IT_number 12
loop_
_space_group_symop_operation_xyz
'x,y,z'
'-x,-y,-z'
'-x,y,-z'
'x,-y,z'
'x+1/2,y+1/2,z'
'-x+1/2,-y+1/2,-z'
'-x+1/2,y+1/2,-z'
'x+1/2,-y+1/2,z'
loop_
_atom_site_label
_atom_site_type_symbol
_atom_site_fract_x
_atom_site_fract_y
_atom_site_fract_z
Dy1 Dy 0.0000 0.0000 0.0000
Er1 Er 0.0000 0.2029 0.0000
Er2 Er 0.0467 0.5000 0.7827
Er3 Er 0.2232 0.1259 0.7036
Tm1 Tm 0.0000 0.3108 0.5000
# size of the total moment: 0.00 μB/cell


Q: What are the energies relative to the best structure? A: P 39; Q 0, in meV/atom.